[1]
# Tl3In2SnHg6

An optimized crystal structure of Tl3In2SnHg6 (PBE-GGA, Alexandria via LeMat-Bulk).

```
Tl3In2SnHg6
1.0
3.374 0.000 0.000
0.000 11.454 -1.626
-1.687 -5.855 9.510
Tl Hg In Sn
3 6 2 1
Direct
0.500 0.500 0.000 Tl
0.830 0.179 0.659 Tl
0.170 0.821 0.341 Tl
0.000 0.247 0.001 Hg
0.668 0.559 0.335 Hg
0.658 0.059 0.316 Hg
0.342 0.941 0.684 Hg
0.000 0.753 0.999 Hg
0.332 0.441 0.665 Hg
0.161 0.306 0.321 In
0.839 0.694 0.679 In
0.500 0.000 0.000 Sn
```

## Properties
Calculated total energy = -1.5145 eV per atom
Formation energy = 0.02 eV/atom
Calculated density = 10718 kg/m3
Symmetry = C2/m (12)



[2]
# Tl3In2Sn2Hg4

An optimized crystal structure of Tl3In2Sn2Hg4 (PBE-GGA, Alexandria via LeMat-Bulk).

```
Tl3In2Sn2Hg4
1.0
5.132 0.000 0.000
-2.566 4.445 0.000
0.000 0.000 14.295
In Hg Tl Sn
2 4 3 2
Direct
0.333 0.667 0.140 In
0.667 0.333 0.860 In
0.667 0.333 0.112 Hg
0.667 0.333 0.649 Hg
0.333 0.667 0.351 Hg
0.333 0.667 0.888 Hg
0.000 0.000 0.270 Tl
0.000 0.000 0.730 Tl
0.000 0.000 0.000 Tl
0.667 0.333 0.440 Sn
0.333 0.667 0.560 Sn
```

## Properties
Calculated total energy = -1.9308 eV per atom
Formation energy = 0.05 eV/atom
Calculated density = 9587 kg/m3
Symmetry = P-3m1 (164)



[3]
# Tl4In2Sn2Hg

An optimized crystal structure of Tl4In2Sn2Hg (PBE-GGA, Alexandria via LeMat-Bulk).

```
Tl4In2Sn2Hg
1.0
5.616 0.618 2.398
-1.027 9.365 0.446
-0.555 -4.804 4.209
Tl In Sn Hg
4 2 2 1
Direct
0.442 0.236 0.145 Tl
0.558 0.764 0.855 Tl
0.230 0.115 0.546 Tl
0.770 0.885 0.454 Tl
0.097 0.576 0.792 In
0.903 0.424 0.208 In
0.682 0.341 0.695 Sn
0.318 0.659 0.305 Sn
0.000 0.000 0.000 Hg
```

## Properties
Calculated total energy = -2.5609 eV per atom
Formation energy = 0.02 eV/atom
Calculated density = 9479 kg/m3
Symmetry = P-1 (2)



[4]
# TlInSn2Hg

An optimized crystal structure of TlInSn2Hg (PBE-GGA, Alexandria via LeMat-Bulk).

```
TlInSn2Hg
1.0
4.423 0.000 0.000
-2.211 6.372 0.000
0.000 0.000 10.550
Tl Sn Hg In
2 4 2 2
Direct
0.050 0.101 0.750 Tl
0.950 0.899 0.250 Tl
0.716 0.433 0.909 Sn
0.716 0.433 0.591 Sn
0.284 0.567 0.409 Sn
0.284 0.567 0.091 Sn
0.500 0.000 0.000 Hg
0.500 0.000 0.500 Hg
0.346 0.692 0.750 In
0.654 0.308 0.250 In
```

## Properties
Calculated total energy = -2.6380 eV per atom
Formation energy = 0.04 eV/atom
Calculated density = 8458 kg/m3
Symmetry = Cmcm (63)